A relaxed structure of PrMgB4. Source: OQMD, functional PBE-GGA.

Cell: 5.1931 5.1931 5.1931 Å, 144.08 115.88 75.74°
With the nearest neighbours (Å) after each atom.
Fractional positions:
Mg  0.0000  0.0000  0.0000  12 B 2.72-2.78
B  0.4236  0.7519  0.6717  3 B 1.82-1.89
B  0.0802  0.7519  0.3283  3 B 1.82-1.89
Pr  0.5000  0.5000  0.0000  12 B 2.75-2.76
B  0.9198  0.2481  0.6717  3 B 1.82-1.89
B  0.5764  0.2481  0.3283  3 B 1.82-1.89

Distance to the lowest polymorph of the same formula (kJ/mol of atoms): 3.81
Total energy (eV per atom): -5.613

A relaxed structure of MgBPt2. Source: OQMD, functional PBE-GGA.

Cell: 4.3153 4.3153 4.3153 Å, 60.00 60.00 60.00°
With the nearest neighbours (Å) after each atom.
Fractional positions:
Pt  0.0000  0.0000  0.0000  4 Pt 2.64, 4 Mg 2.64
Mg  0.2500  0.2500  0.2500  4 B 2.64, 4 Pt 2.64
Pt  0.7500  0.7500  0.7500  4 Pt 2.64, 4 B 2.64
B  0.5000  0.5000  0.5000  4 Mg 2.64, 4 Pt 2.64

Total energy (eV per atom): -4.798

A relaxed structure of Mg2BPt4. Source: OQMD, functional PBE-GGA.

Cell: 6.3423 6.3423 4.2334 Å, 90.00 90.00 141.26°
With the nearest neighbours (Å) after each atom.
Fractional positions:
B  0.0000  0.0000  0.0000  6 Pt 2.10-2.12
Mg  0.6584  0.3416  0.5000  10 Pt 2.83-2.99, 2 Mg 3.04
Pt  0.1761  0.8239  0.0000  1 B 2.11
Pt  0.8239  0.1761  0.0000  1 B 2.11
Mg  0.3416  0.6584  0.5000  10 Pt 2.83-2.99, 2 Mg 3.04
Pt  0.0000  0.0000  0.5000  2 B 2.12
Pt  0.5000  0.5000  0.0000  2 B 2.10

Total energy (eV per atom): -5.477

A relaxed structure of Mg3B3Pt4. Source: OQMD, functional PBE-GGA.

Cell: 6.9734 6.9734 6.9734 Å, 109.47 109.47 109.47°
With the nearest neighbours (Å) after each atom.
Fractional positions:
B  0.7500  0.3750  0.6250  4 Pt 2.23, 4 Mg 2.47
B  0.3750  0.6250  0.7500  4 Pt 2.23, 4 Mg 2.47
B  0.6250  0.7500  0.3750  4 Pt 2.23, 4 Mg 2.47
Pt  0.3447  0.5000  0.0000  3 B 2.23
Pt  0.0000  0.3447  0.5000  3 B 2.23
Mg  0.7500  0.8750  0.1250  4 B 2.47, 4 Pt 2.74
Pt  0.5000  0.0000  0.3447  3 B 2.23
B  0.2500  0.1250  0.8750  4 Pt 2.23, 4 Mg 2.47
Mg  0.8750  0.1250  0.7500  4 B 2.47, 4 Pt 2.74
Mg  0.3750  0.2500  0.6250  4 B 2.47, 4 Pt 2.74
Pt  0.6553  0.6553  0.6553  3 B 2.23
Pt  0.8447  0.5000  0.0000  3 B 2.23
B  0.1250  0.8750  0.2500  4 Pt 2.23, 4 Mg 2.47
Mg  0.1250  0.7500  0.8750  4 B 2.47, 4 Pt 2.74
Mg  0.6250  0.3750  0.2500  4 B 2.47, 4 Pt 2.74
Pt  0.5000  0.0000  0.8447  3 B 2.23
Pt  0.1553  0.1553  0.1553  3 B 2.23
Mg  0.2500  0.6250  0.3750  4 B 2.47, 4 Pt 2.74
B  0.8750  0.2500  0.1250  4 Pt 2.23, 4 Mg 2.47
Pt  0.0000  0.8447  0.5000  3 B 2.23

Total energy (eV per atom): -5.418

A relaxed structure of Mg2BPt. Source: OQMD, functional PBE-GGA.

Cell: 4.2657 4.2657 4.2657 Å, 60.00 60.00 60.00°
With the nearest neighbours (Å) after each atom.
Fractional positions:
Mg  0.7500  0.7500  0.7500  4 B 2.61, 4 Mg 2.61
Pt  0.2500  0.2500  0.2500  4 Mg 2.61, 4 B 2.61
Mg  0.0000  0.0000  0.0000  4 Pt 2.61, 4 Mg 2.61
B  0.5000  0.5000  0.5000  4 Mg 2.61, 4 Pt 2.61

Total energy (eV per atom): -3.845

A relaxed structure of MgBPt3. Source: OQMD, functional PBE-GGA.

Cell: 5.5096 5.5096 5.6573 Å, 90.00 90.00 120.00°
With the nearest neighbours (Å) after each atom.
Fractional positions:
Mg  0.0000  0.0000  0.5000  2 Mg 2.83, 12 Pt 3.08
Pt  0.5000  0.5000  0.7424  2 B 2.16
Mg  0.0000  0.0000  0.0000  2 Mg 2.83, 12 Pt 3.12
B  0.3333  0.6667  0.0000  6 Pt 2.16
Pt  0.0000  0.5000  0.2576  2 B 2.16
Pt  0.0000  0.5000  0.7424  2 B 2.16
B  0.6667  0.3333  0.0000  6 Pt 2.16
Pt  0.5000  0.5000  0.2576  2 B 2.16
Pt  0.5000  0.0000  0.7424  2 B 2.16
Pt  0.5000  0.0000  0.2576  2 B 2.16

Distance to the lowest polymorph of the same formula (kJ/mol of atoms): 3.47
Total energy (eV per atom): -5.819

A relaxed structure of MgB4Pt. Source: OQMD, functional PBE-GGA.

Cell: 3.0796 3.0796 6.8952 Å, 90.00 90.00 120.00°
With the nearest neighbours (Å) after each atom.
Fractional positions:
B  0.3333  0.6667  0.7521  3 B 1.78
B  0.6667  0.3333  0.2479  3 B 1.78
Mg  0.0000  0.0000  0.0000  12 B 2.47
Pt  0.0000  0.0000  0.5000  12 B 2.49
B  0.3333  0.6667  0.2479  3 B 1.78
B  0.6667  0.3333  0.7521  3 B 1.78

Distance to the lowest polymorph of the same formula (kJ/mol of atoms): 5.57
Total energy (eV per atom): -5.615

A relaxed structure of MgB2Pt2. Source: OQMD, functional PBE-GGA.

Cell: 5.0512 5.0512 5.0512 Å, 135.39 135.39 64.92°
With the nearest neighbours (Å) after each atom.
Fractional positions:
Pt  0.7500  0.2500  0.5000  4 B 2.30
Mg  0.0000  0.0000  0.0000  8 B 2.84, 8 Pt 2.87
Pt  0.2500  0.7500  0.5000  4 B 2.30
B  0.3993  0.3993  0.0000  1 B 1.72
B  0.6007  0.6007  0.0000  1 B 1.72

Total energy (eV per atom): -5.714

A relaxed structure of MgB4Pt. Source: OQMD, functional PBE-GGA.

Cell: 4.6736 4.6736 4.6736 Å, 141.76 112.51 80.31°
With the nearest neighbours (Å) after each atom.
Fractional positions:
Pt  0.0000  0.0000  0.0000  12 B 2.42-2.57
B  0.4311  0.7614  0.6697  3 B 1.75-1.76
B  0.0918  0.7614  0.3303  3 B 1.75-1.76
B  0.9082  0.2386  0.6697  3 B 1.75-1.76
B  0.5689  0.2386  0.3303  3 B 1.75-1.76
Mg  0.5000  0.5000  0.0000  12 B 2.45-2.54

Distance to the lowest polymorph of the same formula (kJ/mol of atoms): 0.00
Total energy (eV per atom): -5.672

A relaxed structure of MgBPt3. Source: OQMD, functional PBE-GGA.

Cell: 4.2116 4.2116 4.2116 Å, 90.00 90.00 90.00°
With the nearest neighbours (Å) after each atom.
Fractional positions:
Pt  0.0000  0.5000  0.0000  2 B 2.11
Mg  0.5000  0.5000  0.5000  12 Pt 2.98
Pt  0.5000  0.0000  0.0000  2 B 2.11
Pt  0.0000  0.0000  0.5000  2 B 2.11
B  0.0000  0.0000  0.0000  6 Pt 2.11

Distance to the lowest polymorph of the same formula (kJ/mol of atoms): 9.46
Total energy (eV per atom): -5.757

A relaxed structure of MgBPt3. Source: OQMD, functional PBE-GGA.

Cell: 5.6359 5.6359 5.5868 Å, 108.34 108.34 60.34°
With the nearest neighbours (Å) after each atom.
Fractional positions:
Pt  0.2125  0.0606  0.8600  2 B 2.13-2.14
Pt  0.7035  0.0908  0.8419  1 B 2.08
Pt  0.6780  0.5556  0.7132  2 B 2.12-2.17
Pt  0.5556  0.6780  0.2132  2 B 2.12-2.17
Mg  0.5668  0.1813  0.3116  1 B 2.69, 10 Pt 2.71-2.99
Pt  0.0908  0.7035  0.3419  1 B 2.08
Mg  0.1813  0.5668  0.8116  1 B 2.69, 10 Pt 2.71-2.99
B  0.4389  0.9386  0.5646  5 Pt 2.08-2.17
B  0.9386  0.4389  0.0646  5 Pt 2.08-2.17
Pt  0.0606  0.2125  0.3600  2 B 2.13-2.14

Distance to the lowest polymorph of the same formula (kJ/mol of atoms): 0.16
Total energy (eV per atom): -5.853

A relaxed structure of MgBPt3. Source: OQMD, functional PBE-GGA.

Cell: 6.3413 6.3413 6.3413 Å, 52.60 52.60 52.60°
With the nearest neighbours (Å) after each atom.
Fractional positions:
B  0.8311  0.8311  0.8311  6 Pt 2.16-2.19
Pt  0.4093  0.9127  0.9127  2 B 2.16-2.19
Mg  0.3939  0.3939  0.3939  9 Pt 2.80-2.82
Pt  0.0873  0.5907  0.0873  2 B 2.16-2.19
Mg  0.6061  0.6061  0.6061  9 Pt 2.80-2.82
B  0.1689  0.1689  0.1689  6 Pt 2.16-2.19
Pt  0.9127  0.9127  0.4093  2 B 2.16-2.19
Pt  0.0873  0.0873  0.5907  2 B 2.16-2.19
Pt  0.9127  0.4093  0.9127  2 B 2.16-2.19
Pt  0.5907  0.0873  0.0873  2 B 2.16-2.19

Distance to the lowest polymorph of the same formula (kJ/mol of atoms): 0.00
Total energy (eV per atom): -5.855